First-principles (PBE) data for crystalline Ac8RhAu2 at its relaxed geometry, as listed in Alexandria via LeMat-Bulk.

The formation energy is -0.43 eV/atom. For the calculated density, the calculation gives 9.20 g cm⁻³.

It has space group C2/m (No. 12), with a = 19.998 Å, b = 4.196 Å, c = 9.966 Å, α = 90.00°, β = 93.47° and γ = 90.00°. The distinct sites, in fractional coordinates, are Ac at (0.008, 0.000, 0.207), Ac at (0.093, 0.500, 0.519), Ac at (0.152, 0.500, 0.990), Ac at (0.226, 0.000, 0.330), Rh at (0.000, 0.500, 0.000) and Au at (0.160, 0.000, 0.742).